Entry 1:
Density functional theory data (GGA-PBE) for a relaxed structure of Pa2SnB.

POSCAR file:
```
Pa2SnB
1.0
3.503 0.000 0.000
1.752 3.034 0.000
1.752 1.011 8.458
B Pa Sn
1 2 1
Cartesian
0.000 0.000 0.000 B
1.752 1.011 1.504 Pa
5.255 3.034 6.954 Pa
3.503 2.023 4.229 Sn
```

Properties
- SG = R-3m (166)
- total magnetic moment (μB per cell) = 0.0
- E (eV per atom) = -7.59
- N(E_F) (states/eV/cell) = 5.604

Entry 2:
Density functional theory data (GGA-PBE) for a relaxed structure of Pa4Sn2B.

POSCAR file:
```
Pa4Sn2B
1.0
-3.295 0.114 3.486
-2.683 -3.148 -2.433
6.687 -4.488 3.166
B Pa Sn
1 4 2
Cartesian
0.000 0.000 0.000 B
-0.434 -5.666 3.078 Pa
1.143 -1.856 1.141 Pa
-1.341 -1.574 -1.216 Pa
-1.648 0.057 1.743 Pa
-1.928 -3.240 1.586 Sn
2.636 -4.281 2.633 Sn
```

Properties
- SG = I4/mmm (139)
- total magnetic moment (μB per cell) = 0.0
- E (eV per atom) = -7.58
- N(E_F) (states/eV/cell) = 12.311

Entry 3:
Density functional theory data (GGA-PBE) for a relaxed structure of SrPaB12.

POSCAR file:
```
SrPaB12
1.0
-3.623 -0.602 1.863
0.590 -4.072 -0.170
3.755 0.236 7.380
Sr Pa B
1 1 12
Cartesian
1.877 0.118 3.690 Sr
0.000 0.000 0.000 Pa
0.499 -2.098 2.104 B
2.404 -1.978 5.848 B
-0.021 -2.243 3.787 B
1.872 -2.124 7.507 B
-0.770 -1.053 2.715 B
1.136 -0.933 6.460 B
-1.151 -2.314 1.566 B
0.742 -2.195 5.287 B
-0.415 -3.505 2.613 B
1.491 -3.385 6.358 B
-1.683 -2.460 3.225 B
0.222 -2.341 6.970 B
```

Properties
- SG = P4/mmm (123)
- total magnetic moment (μB per cell) = 1.0
- E (eV per atom) = -6.93
- N(E_F) (states/eV/cell) = 4.401

Entry 4:
Density functional theory data (GGA-PBE) for a relaxed structure of PaTaB2.

POSCAR file:
```
PaTaB2
1.0
3.377 0.000 0.000
1.688 2.924 0.000
1.688 0.975 6.025
B Pa Ta
2 1 1
Cartesian
5.065 2.924 4.725 B
1.688 0.975 1.300 B
3.377 1.950 3.013 Pa
0.000 0.000 0.000 Ta
```

Properties
- SG = R-3m (166)
- total magnetic moment (μB per cell) = 0.0
- E (eV per atom) = -8.93
- N(E_F) (states/eV/cell) = 2.134

Entry 5:
Density functional theory data (GGA-PBE) for a relaxed structure of PaTa2B6.

POSCAR file:
```
PaTa2B6
1.0
3.651 0.000 0.000
0.000 4.720 -2.725
0.000 0.000 5.450
Pa Ta B
1 2 6
Cartesian
0.000 0.000 0.000 Pa
0.000 1.573 2.725 Ta
0.000 3.146 0.000 Ta
1.825 1.595 0.921 B
1.825 3.124 1.804 B
1.825 0.000 3.608 B
1.825 3.124 3.646 B
1.825 1.595 -0.921 B
1.825 0.000 1.842 B
```

Properties
- SG = P6/mmm (191)
- total magnetic moment (μB per cell) = 0.0
- excess energy over the best structure of this formula in the dataset (meV per atom) = 39.8
- E (eV per atom) = -8.69
- N(E_F) (states/eV/cell) = 3.883

Entry 6:
Density functional theory data (GGA-PBE) for a relaxed structure of Pa2TaB.

POSCAR file:
```
Pa2TaB
1.0
-1.792 -1.561 -2.192
-0.956 -3.037 0.560
-8.413 1.552 3.387
B Pa Ta
1 2 1
Cartesian
-5.580 -1.523 0.877 B
-6.005 0.562 2.124 Pa
-5.156 -3.607 -0.370 Pa
0.000 0.000 0.000 Ta
```

Properties
- SG = R-3m (166)
- total magnetic moment (μB per cell) = 0.0
- E (eV per atom) = -8.88
- N(E_F) (states/eV/cell) = 7.082

Entry 7:
Density functional theory data (GGA-PBE) for a relaxed structure of PaTa2B6.

POSCAR file:
```
PaTa2B6
1.0
-2.053 -2.426 0.236
-0.285 -1.301 5.675
-5.037 2.341 1.766
Pa Ta B
1 2 6
Cartesian
-3.687 -0.693 3.838 Pa
-1.529 -0.680 1.226 Ta
-5.846 -0.705 6.451 Ta
-0.785 -1.105 3.335 B
-6.590 -0.281 4.342 B
-4.112 -2.179 6.380 B
-4.201 1.700 2.454 B
-1.121 -0.660 4.987 B
-3.262 0.794 1.297 B
```

Properties
- SG = Immm (71)
- total magnetic moment (μB per cell) = 0.0
- excess energy over the best structure of this formula in the dataset (meV per atom) = 0.0
- E (eV per atom) = -8.73
- N(E_F) (states/eV/cell) = 2.152

Entry 8:
Density functional theory data (GGA-PBE) for a relaxed structure of PaTaB.

POSCAR file:
```
PaTaB
1.0
6.236 0.257 0.000
-2.129 5.867 0.000
-2.054 -3.062 5.614
Pa B Ta
4 4 4
Cartesian
2.586 1.595 1.404 Pa
-1.559 -0.064 4.211 Pa
1.559 0.064 4.211 Pa
1.521 4.529 1.404 Pa
-2.506 3.900 2.807 B
4.795 1.223 0.000 B
0.377 1.967 2.807 B
-0.688 4.901 0.000 B
-1.064 2.934 1.284 Ta
0.000 0.000 1.523 Ta
2.054 3.062 4.091 Ta
-1.064 2.934 4.330 Ta
```

Properties
- SG = Fddd (70)
- total magnetic moment (μB per cell) = 0.0
- E (eV per atom) = -9.42
- N(E_F) (states/eV/cell) = 13.750

Entry 9:
Density functional theory data (GGA-PBE) for a relaxed structure of TbPaB4.

POSCAR file:
```
TbPaB4
1.0
3.466 0.000 -1.070
-0.330 3.450 -1.070
0.046 0.051 6.296
Tb Pa B
1 1 4
Cartesian
0.642 2.613 2.078 Tb
0.000 0.000 0.000 Pa
2.284 0.607 1.252 B
1.820 2.003 -0.253 B
2.795 1.168 2.904 B
1.361 1.498 4.408 B
```

Properties
- SG = I-4m2 (119)
- total magnetic moment (μB per cell) = 0.0
- excess energy over the best structure of this formula in the dataset (meV per atom) = 0.0
- E (eV per atom) = -7.22
- N(E_F) (states/eV/cell) = 1.847

Entry 10:
Density functional theory data (GGA-PBE) for a relaxed structure of TbPaB4.

POSCAR file:
```
TbPaB4
1.0
-0.691 1.271 4.562
-4.241 -0.767 2.082
-0.433 -3.360 3.381
B Pa Tb
4 1 1
Cartesian
-3.018 -0.451 4.689 B
-1.612 -1.408 5.169 B
-3.178 -1.691 5.938 B
-2.923 -2.161 4.253 B
-1.341 -0.714 2.506 Pa
0.000 0.000 0.000 Tb
```

Properties
- SG = F-43m (216)
- total magnetic moment (μB per cell) = 0.0
- excess energy over the best structure of this formula in the dataset (meV per atom) = 731.9
- E (eV per atom) = -6.49
- N(E_F) (states/eV/cell) = 2.904

Entry 11:
Density functional theory data (GGA-PBE) for a relaxed structure of TbPaB.

POSCAR file:
```
TbPaB
1.0
3.094 0.000 0.000
0.000 3.350 0.000
-1.547 -1.675 5.939
Pa B Tb
1 1 1
Cartesian
0.000 0.000 0.549 Pa
1.547 1.675 1.882 B
0.000 0.000 3.508 Tb
```

Properties
- SG = Imm2 (44)
- total magnetic moment (μB per cell) = 0.0
- E (eV per atom) = -6.76
- N(E_F) (states/eV/cell) = 4.347

Entry 12:
Density functional theory data (GGA-PBE) for a relaxed structure of TbPaB12.

POSCAR file:
```
TbPaB12
1.0
4.081 0.000 0.000
0.000 4.081 0.000
0.000 0.000 8.180
Tb Pa B
1 1 12
Cartesian
0.000 0.000 4.090 Tb
0.000 0.000 0.000 Pa
0.807 2.041 2.041 B
0.807 2.041 6.139 B
2.041 2.041 3.278 B
2.041 2.041 7.374 B
2.041 0.807 2.041 B
2.041 0.807 6.139 B
2.041 2.041 0.805 B
2.041 2.041 4.902 B
2.041 3.275 2.041 B
2.041 3.275 6.139 B
3.275 2.041 2.041 B
3.275 2.041 6.139 B
```

Properties
- SG = P4/mmm (123)
- total magnetic moment (μB per cell) = 1.0
- E (eV per atom) = -7.12
- N(E_F) (states/eV/cell) = 4.079

Entry 13:
Density functional theory data (GGA-PBE) for a relaxed structure of Pa2TcB5.

POSCAR file:
```
Pa2TcB5
1.0
5.255 -0.085 -0.121
-2.661 4.533 0.121
-2.661 -1.429 4.303
Pa Tc B
2 1 5
Cartesian
0.017 -0.010 3.155 Pa
0.017 2.970 1.064 Pa
-0.022 0.013 0.018 Tc
-1.641 2.012 2.867 B
-2.559 2.547 1.387 B
-2.559 0.438 2.867 B
1.778 0.889 1.267 B
-1.669 0.973 1.387 B
```

Properties
- SG = I4mm (107)
- total magnetic moment (μB per cell) = 0.0
- E (eV per atom) = -8.28
- N(E_F) (states/eV/cell) = 5.593

Entry 14:
Density functional theory data (GGA-PBE) for a relaxed structure of PaTcB3.

POSCAR file:
```
PaTcB3
1.0
3.485 0.000 0.000
0.000 3.485 0.000
-1.742 -1.742 4.934
Pa Tc B
1 1 3
Cartesian
1.742 1.742 4.756 Pa
1.742 1.742 1.462 Tc
0.000 1.742 2.840 B
1.742 0.000 2.840 B
0.000 0.000 3.795 B
```

Properties
- SG = I4mm (107)
- total magnetic moment (μB per cell) = 0.0
- excess energy over the best structure of this formula in the dataset (meV per atom) = 403.4
- E (eV per atom) = -8.01
- N(E_F) (states/eV/cell) = 1.781

Entry 15:
Density functional theory data (GGA-PBE) for a relaxed structure of Pa3Tc3B8.

POSCAR file:
```
Pa3Tc3B8
1.0
-2.823 -1.432 0.262
0.063 -4.816 -6.405
2.188 -7.625 1.142
Pa Tc B
3 3 8
Cartesian
-0.286 -6.937 -2.501 Pa
-1.697 -3.874 -0.964 Pa
1.126 -10.000 -4.038 Pa
-1.411 -0.716 0.131 Tc
0.549 -5.459 -4.679 Tc
1.702 -6.983 -0.584 Tc
-0.405 -6.208 0.202 B
-0.166 -7.666 -5.204 B
-1.514 -4.742 -3.736 B
0.942 -9.132 -1.265 B
-1.306 -8.818 -4.521 B
0.734 -5.056 -0.480 B
-0.562 -9.800 -1.881 B
-0.009 -4.074 -3.121 B
```

Properties
- SG = Immm (71)
- total magnetic moment (μB per cell) = 0.0
- E (eV per atom) = -8.28
- N(E_F) (states/eV/cell) = 9.033

Entry 16:
Density functional theory data (GGA-PBE) for a relaxed structure of PaTc4B4.

POSCAR file:
```
PaTc4B4
1.0
-4.559 -2.894 0.031
1.493 -2.402 -4.600
3.438 -5.375 3.922
Pa Tc B
2 8 8
Cartesian
0.000 0.000 0.000 Pa
0.186 -5.335 -0.323 Pa
2.522 -6.538 1.063 Tc
0.294 -7.952 1.078 Tc
-0.671 -4.012 -2.841 Tc
-1.400 -2.838 -0.593 Tc
2.350 -3.725 -2.082 Tc
1.587 -2.497 0.270 Tc
1.102 -4.172 2.536 Tc
-1.228 -5.652 2.552 Tc
1.917 -8.064 -0.460 B
0.917 -6.455 2.622 B
-2.572 -4.380 -1.717 B
0.482 -2.442 -1.738 B
-0.296 -2.894 1.415 B
-1.801 -3.849 1.425 B
2.707 -4.255 0.977 B
3.200 -5.048 -0.541 B
```

Properties
- SG = P4_2/nmc (137)
- total magnetic moment (μB per cell) = 0.0
- excess energy over the best structure of this formula in the dataset (meV per atom) = 0.0
- E (eV per atom) = -9.03
- N(E_F) (states/eV/cell) = 18.591

Entry 17:
Density functional theory data (GGA-PBE) for a relaxed structure of Pa3Tc7B2.

POSCAR file:
```
Pa3Tc7B2
1.0
4.224 0.000 0.000
0.000 4.266 0.000
0.000 -2.133 10.739
Pa Tc B
3 7 2
Cartesian
2.112 2.133 0.000 Pa
2.112 2.133 4.004 Pa
2.112 0.000 6.734 Pa
0.000 0.000 8.648 Tc
0.000 2.133 6.430 Tc
0.000 0.000 0.000 Tc
0.000 2.133 2.091 Tc
2.112 0.000 2.141 Tc
2.112 2.133 8.598 Tc
0.000 0.000 4.308 Tc
0.000 2.133 8.579 B
0.000 0.000 2.160 B
```

Properties
- SG = Cmmm (65)
- total magnetic moment (μB per cell) = 0.0
- E (eV per atom) = -9.83
- N(E_F) (states/eV/cell) = 12.446

Entry 18:
Density functional theory data (GGA-PBE) for a relaxed structure of Pa3Tc2B7.

POSCAR file:
```
Pa3Tc2B7
1.0
5.092 0.000 0.000
2.546 4.409 0.000
2.546 1.470 6.423
Pa Tc B
3 2 7
Cartesian
0.000 0.000 0.000 Pa
7.637 4.409 2.795 Pa
2.546 1.470 3.628 Pa
7.637 4.409 5.804 Tc
2.546 1.470 0.619 Tc
5.092 2.940 3.212 B
5.985 2.424 1.602 B
5.092 3.971 1.602 B
4.198 2.424 1.602 B
4.198 3.455 4.821 B
5.985 3.455 4.821 B
5.092 1.908 4.821 B
```

Properties
- SG = R-3m (166)
- total magnetic moment (μB per cell) = 0.9
- E (eV per atom) = -8.11
- N(E_F) (states/eV/cell) = 11.555

Entry 19:
Density functional theory data (GGA-PBE) for a relaxed structure of PaTcB4.

POSCAR file:
```
PaTcB4
1.0
-2.832 -0.135 -1.319
-1.720 -4.590 0.457
-3.351 -0.626 3.551
Pa Tc B
1 1 4
Cartesian
0.000 0.000 0.000 Pa
-3.952 -2.675 1.344 Tc
-1.690 -2.006 0.128 B
-2.250 -0.645 1.190 B
-6.213 -3.345 2.561 B
-5.653 -4.706 1.498 B
```

Properties
- SG = Immm (71)
- total magnetic moment (μB per cell) = 0.0
- excess energy over the best structure of this formula in the dataset (meV per atom) = 405.8
- E (eV per atom) = -8.03
- N(E_F) (states/eV/cell) = 3.791

Entry 20:
Density functional theory data (GGA-PBE) for a relaxed structure of Pa3Tc5B2.

POSCAR file:
```
Pa3Tc5B2
1.0
5.997 0.000 0.000
2.999 7.428 -1.052
2.999 0.957 7.440
Pa Tc B
6 10 4
Cartesian
1.499 0.000 0.000 Pa
4.498 0.000 0.000 Pa
5.997 3.648 6.077 Pa
5.997 4.737 0.312 Pa
8.996 6.827 1.904 Pa
2.999 1.558 4.484 Pa
4.498 4.192 3.194 Tc
7.496 4.192 3.194 Tc
7.496 6.400 4.877 Tc
1.499 1.984 1.512 Tc
4.498 1.984 1.512 Tc
10.495 6.400 4.877 Tc
2.999 4.197 1.082 Tc
8.996 4.188 5.306 Tc
5.997 2.157 3.759 Tc
5.997 6.227 2.629 Tc
5.997 6.205 6.611 B
5.997 2.179 -0.222 B
8.996 8.020 4.228 B
2.999 0.364 2.160 B
```

Properties
- SG = Ibam (72)
- total magnetic moment (μB per cell) = 0.0
- E (eV per atom) = -9.39
- N(E_F) (states/eV/cell) = 25.939